The following is a PBE calculation of crystalline LiLaEr2Te4 at its relaxed geometry, from the Alexandria database.

a b c (Å): 7.587 4.362 7.684
angles (deg): 90.00 109.08 90.00
Fractional coordinates of all 8 atoms:
Li (0.000, 0.000, 0.000)
La (0.500, 0.500, 0.000)
Er (0.000, 0.500, 0.500)
Er (0.500, 0.000, 0.500)
Te (0.236, 0.000, 0.740)
Te (0.242, 0.500, 0.255)
Te (0.758, 0.500, 0.745)
Te (0.764, 0.000, 0.260)

total magnetic moment	0.0	Bohr magnetons per cell
SG	P2/m (10)
formation energy without anion corrections	-1.3421	eV/atom